Here is a geometry-optimized SrSnBiPt2 structure from OQMD. Energies are from PBE.

As for the calculated volume: 125.3 Å³/f.u. The total energy comes out at -0.186 hartree per atom.

The space group is P2_1/m (No. 11) and the conventional cell measures 4.987, 4.761 and 10.568 Å, with angles of 90.00, 93.27 and 90.00 degrees. The inequivalent atoms are Sr at (0.241, 0.250, 0.239), Sn at (0.309, 0.250, 0.895), Bi at (0.247, 0.750, 0.496), Pt at (0.177, 0.750, 0.999) and Pt at (0.269, 0.250, 0.645).


Here is a geometry-optimized RbLu4Th2 structure from OQMD. Energies are from PBE.

As for the calculated volume: 244.4 Å³/f.u. The total energy comes out at -0.163 hartree per atom.

The space group is P-42m (No. 111) and the conventional cell measures 8.402, 8.402 and 3.461 Å, with angles of 90.00, 90.00 and 90.00 degrees. The inequivalent atoms are Rb at (0.000, 0.000, 0.000), Lu at (0.303, 0.303, 0.496) and Th at (0.000, 0.500, 0.000).


Here is a geometry-optimized Y2Ni2Pb structure from OQMD. Energies are from PBE.

As for the calculated volume: 111.1 Å³/f.u. The total energy comes out at -0.210 hartree per atom.

The space group is I4/mmm (No. 139) and the conventional cell measures 4.654, 4.654 and 10.263 Å, with angles of 90.00, 90.00 and 90.00 degrees. The inequivalent atoms are Y at (0.000, 0.500, 0.250), Ni at (0.000, 0.000, 0.109) and Pb at (0.000, 0.000, 0.500).


Here is a geometry-optimized NbHg structure from OQMD. Energies are from PBE.

The formation energy comes out at 167 kJ per mole of atoms. As for the calculated volume: 57.5 Å³/f.u.

The space group is F-43m (No. 216) and the conventional cell measures 6.125, 6.125 and 6.125 Å, with angles of 90.00, 90.00 and 90.00 degrees. The inequivalent atoms are Nb at (0.000, 0.000, 0.000) and Hg at (0.250, 0.250, 0.250).


Here is a geometry-optimized KBaTl4Pd2 structure from OQMD. Energies are from PBE.

As for the calculated volume: 224.8 Å³/f.u. The total energy comes out at -0.116 hartree per atom.

The space group is Amm2 (No. 38) and the conventional cell measures 8.571, 4.541 and 11.551 Å, with angles of 90.00, 90.00 and 90.00 degrees. The inequivalent atoms are K at (0.000, 0.000, 0.000), Ba at (0.500, 0.000, 0.880), Tl at (0.193, 0.000, 0.287), Tl at (0.298, 0.000, 0.591), Pd at (0.000, 0.000, 0.722) and Pd at (0.500, 0.000, 0.161).


Here is a geometry-optimized ThMgSc2 structure from OQMD. Energies are from PBE.

As for the calculated volume: 102.7 Å³/f.u. The total energy comes out at -0.200 hartree per atom.

The space group is P4/mmm (No. 123) and the conventional cell measures 3.502, 3.502 and 8.379 Å, with angles of 90.00, 90.00 and 90.00 degrees. The inequivalent atoms are Th at (0.000, 0.000, 0.000), Mg at (0.000, 0.000, 0.500) and Sc at (0.500, 0.500, 0.268).